A) A relaxed structure of CsLiZr2, computed with PBE.

Summary:
Total moment, μB/atom: 0.000

Cell: 7.3138 7.3138 7.3138 Å, 90.00 90.00 90.00°
Closest atoms and distances in Å follow each position.
Space group Fm-3m (No. 225)
Inequivalent atoms, fractional coordinates:
Cs: 0.0000 0.0000 0.0000 x4  8 Zr 3.17
Li: 0.0000 0.0000 0.5000 x4  8 Zr 3.17
Zr: 0.2500 0.2500 0.2500 x8  4 Li 3.17, 4 Cs 3.17

***

B) A relaxed structure of CsLiZr2, computed with PBE.

Summary:
Total moment, μB/atom: 0.000

Cell: 4.2384 4.2384 25.3698 Å, 90.00 90.00 90.00°
Closest atoms and distances in Å follow each position.
Space group I-42d (No. 122)
Inequivalent atoms, fractional coordinates:
Cs: 0.0000 0.0000 0.0000 x4  4 Li 3.00
Li: 0.0000 0.0000 0.5000 x4  4 Cs 3.00
Zr: 0.2383 0.2500 0.6250 x8  4 Zr 2.93-3.07

***

B) (260 meV per atom below the next structure)

***

A) A relaxed structure of CsLiZr3, computed with PBE.

Summary:
Total moment, μB/atom: 0.000

Cell: 5.3340 5.3340 5.3340 Å, 90.00 90.00 90.00°
Closest atoms and distances in Å follow each position.
Space group Pm-3m (No. 221)
Inequivalent atoms, fractional coordinates:
Cs: 0.0000 0.0000 0.0000 x1  6 Zr 2.67
Li: 0.5000 0.5000 0.5000 x1  12 Zr 3.77
Zr: 0.0000 0.0000 0.5000 x3  2 Cs 2.67

***

B) A relaxed structure of CsLiZr3, computed with PBE.

Summary:
Total moment, μB/atom: 0.000

Cell: 5.1036 5.1036 5.1036 Å, 90.00 90.00 90.00°
Closest atoms and distances in Å follow each position.
Space group Pm-3m (No. 221)
Inequivalent atoms, fractional coordinates:
Cs: 0.0000 0.0000 0.0000 x1  12 Zr 3.61
Li: 0.5000 0.5000 0.5000 x1  6 Zr 2.55
Zr: 0.0000 0.5000 0.5000 x3  2 Li 2.55

***

B) (708 meV per atom below the next structure)

***

A) A relaxed structure of CsMg3Mo, computed with PBE.

Summary:
Total moment, μB/atom: 0.000

Cell: 5.5446 5.5446 5.5446 Å, 90.00 90.00 90.00°
Closest atoms and distances in Å follow each position.
Space group Pm-3m (No. 221)
Inequivalent atoms, fractional coordinates:
Cs: 0.0000 0.0000 0.0000 x1  6 Mg 2.77
Mg: 0.0000 0.0000 0.5000 x3  2 Cs 2.77
Mo: 0.5000 0.5000 0.5000 x1  12 Mg 3.92

***

B) A relaxed structure of CsMg3Mo, computed with PBE.

Summary:
Total moment, μB/atom: 0.645

Cell: 5.6135 5.6135 5.6135 Å, 90.00 90.00 90.00°
Closest atoms and distances in Å follow each position.
Space group Pm-3m (No. 221)
Inequivalent atoms, fractional coordinates:
Cs: 0.0000 0.0000 0.0000 x1  12 Mg 3.97
Mg: 0.0000 0.5000 0.5000 x3  2 Mo 2.81
Mo: 0.5000 0.5000 0.5000 x1  6 Mg 2.81

***

B) (1606 meV per atom below the next structure)

***

A) A relaxed structure of Cs2MgN, computed with PBE.

Summary:
Total moment, μB/atom: 0.000

Cell: 8.3047 8.3047 8.3047 Å, 90.00 90.00 90.00°
Closest atoms and distances in Å follow each position.
Space group Fm-3m (No. 225)
Inequivalent atoms, fractional coordinates:
Cs: 0.2500 0.2500 0.2500 x8  4 Mg 3.60, 4 N 3.60
Mg: 0.0000 0.0000 0.0000 x4  8 Cs 3.60
N: 0.0000 0.0000 0.5000 x4  8 Cs 3.60

***

B) A relaxed structure of Cs2MgN, computed with PBE.

Summary:
Total moment, μB/atom: 0.048

Cell: 13.5477 13.5477 3.9706 Å, 90.00 90.00 90.00°
Closest atoms and distances in Å follow each position.
Space group I-42d (No. 122)
Inequivalent atoms, fractional coordinates:
Cs: 0.0360 0.2500 0.1250 x8  2 N 3.46, 2 Mg 3.73
Mg: 0.0000 0.0000 0.5000 x4  2 N 1.99
N: 0.0000 0.0000 0.0000 x4  2 Mg 1.99

***

B) (917 meV per atom below the next structure)

***

A) A relaxed structure of CsMgS2N, computed with PBE.

Summary:
Total moment, μB/atom: 0.368

Cell: 5.6577 5.6577 4.4229 Å, 90.00 90.00 90.00°
Closest atoms and distances in Å follow each position.
Space group P4/mmm (No. 123)
Inequivalent atoms, fractional coordinates:
Cs: 0.0000 0.0000 0.0000 x1  2 N 2.21
Mg: 0.5000 0.5000 0.5000 x1  8 S 3.59, 4 N 4.00
S: 0.0000 0.5000 0.0000 x2  2 Cs 2.83
N: 0.0000 0.0000 0.5000 x1  2 Cs 2.21

***

B) A relaxed structure of CsMgS2N, computed with PBE.

Summary:
Total moment, μB/atom: 0.779

Cell: 5.0912 5.0912 4.7929 Å, 90.00 90.00 90.00°
Closest atoms and distances in Å follow each position.
Space group P4/mmm (No. 123)
Inequivalent atoms, fractional coordinates:
Cs: 0.0000 0.0000 0.0000 x1  8 S 3.50, 4 N 3.60
Mg: 0.5000 0.5000 0.5000 x1  2 N 2.40, 4 S 2.55
S: 0.0000 0.5000 0.5000 x2  2 Mg 2.55
N: 0.5000 0.5000 0.0000 x1  2 Mg 2.40

***

B) (1279 meV per atom below the next structure)

***

A) A relaxed structure of CsMgTe2N, computed with PBE.

Summary:
Total moment, μB/atom: 0.462

Cell: 6.5039 6.5039 3.9248 Å, 90.00 90.00 90.00°
Closest atoms and distances in Å follow each position.
Space group P4/mmm (No. 123)
Inequivalent atoms, fractional coordinates:
Cs: 0.0000 0.0000 0.0000 x1  8 Te 3.80, 2 Cs 3.92
Mg: 0.5000 0.5000 0.5000 x1  2 N 1.96
Te: 0.0000 0.5000 0.5000 x2  2 Mg 3.25
N: 0.5000 0.5000 0.0000 x1  2 Mg 1.96

***

B) A relaxed structure of CsMgTe2N, computed with PBE.

Summary:
Total moment, μB/atom: 0.370

Cell: 6.4834 6.4834 4.4516 Å, 90.00 90.00 90.00°
Closest atoms and distances in Å follow each position.
Space group P4/mmm (No. 123)
Inequivalent atoms, fractional coordinates:
Cs: 0.0000 0.0000 0.0000 x1  2 N 2.23
Mg: 0.5000 0.5000 0.5000 x1  8 Te 3.93
Te: 0.0000 0.5000 0.0000 x2  2 Cs 3.24
N: 0.0000 0.0000 0.5000 x1  2 Cs 2.23

***

A) (1222 meV per atom below the next structure)

***

A) A relaxed structure of CsMgTeN2, computed with PBE.

Summary:
Total moment, μB/atom: 0.429

Cell: 4.4379 4.4379 7.6977 Å, 90.00 90.00 90.00°
Closest atoms and distances in Å follow each position.
Space group P4/mmm (No. 123)
Inequivalent atoms, fractional coordinates:
Cs: 0.0000 0.0000 0.0000 x1  4 N 2.22
Mg: 0.5000 0.5000 0.5000 x1  4 Te 3.14
Te: 0.0000 0.0000 0.5000 x1  4 Mg 3.14
N: 0.0000 0.5000 0.0000 x2  2 Cs 2.22

***

B) A relaxed structure of CsMgTeN2, computed with PBE.

Summary:
Total moment, μB/atom: 0.985

Cell: 4.9189 4.9189 5.6591 Å, 90.00 90.00 90.00°
Closest atoms and distances in Å follow each position.
Space group P4/mmm (No. 123)
Inequivalent atoms, fractional coordinates:
Cs: 0.0000 0.0000 0.0000 x1  4 Te 3.48, 8 N 3.75
Mg: 0.5000 0.5000 0.5000 x1  4 N 2.46
Te: 0.5000 0.5000 0.0000 x1  2 Mg 2.83
N: 0.0000 0.5000 0.5000 x2  2 Mg 2.46

***

B) (843 meV per atom below the next structure)

***

A) A relaxed structure of Cs2NaMg2, computed with PBE.

Summary:
Total moment, μB/atom: 0.000

Cell: 11.7369 11.7369 4.0458 Å, 90.00 90.00 90.00°
Closest atoms and distances in Å follow each position.
Space group P4/mbm (No. 127)
Inequivalent atoms, fractional coordinates:
Cs: 0.1915 0.3085 0.0000 x4  2 Cs 4.05, 6 Mg 4.08-4.09, 2 Na 4.26
Na: 0.0000 0.0000 0.0000 x2  2 Na 4.05, 4 Cs 4.26
Mg: 0.0940 0.5940 0.5000 x4  1 Mg 3.12

***

B) A relaxed structure of Cs2NaMg2, computed with PBE.

Summary:
Total moment, μB/atom: 0.000

Cell: 4.4705 4.4705 26.9656 Å, 90.00 90.00 90.00°
Closest atoms and distances in Å follow each position.
Space group I4/mmm (No. 139)
Inequivalent atoms, fractional coordinates:
Cs: 0.0000 0.0000 0.1191 x4  4 Mg 4.18, 4 Cs 4.47, 4 Na 4.51
Na: 0.0000 0.0000 0.5000 x2  4 Na 4.47, 8 Cs 4.51
Mg: 0.0000 0.5000 0.2500 x4  4 Mg 3.16

***

C) A relaxed structure of Cs2NaMg2, computed with PBE.

Summary:
Total moment, μB/atom: 0.000

Cell: 9.3628 9.3628 6.1966 Å, 90.00 90.00 90.00°
Closest atoms and distances in Å follow each position.
Space group P4/mbm (No. 127)
Inequivalent atoms, fractional coordinates:
Cs: 0.1778 0.3222 0.0000 x4  6 Mg 4.09-4.21
Na: 0.0000 0.0000 0.5000 x2  4 Mg 3.73
Mg: 0.1204 0.6204 0.5000 x4  1 Mg 3.19

***

B) (13 meV per atom below the next structure)

***

A) A relaxed structure of Cs2Na2Mg, computed with PBE.

Summary:
Total moment, μB/atom: 0.000

Cell: 11.8086 11.8086 4.6417 Å, 90.00 90.00 90.00°
Closest atoms and distances in Å follow each position.
Space group P4/mbm (No. 127)
Inequivalent atoms, fractional coordinates:
Cs: 0.1880 0.3120 0.0000 x4  6 Na 4.15-4.29, 2 Mg 4.30, 2 Cs 4.64
Na: 0.1060 0.6060 0.5000 x4  1 Na 3.54
Mg: 0.0000 0.0000 0.0000 x2  4 Cs 4.30, 2 Mg 4.64

***

B) A relaxed structure of Cs2Na2Mg, computed with PBE.

Summary:
Total moment, μB/atom: 0.000

Cell: 4.8875 4.8875 25.2556 Å, 90.00 90.00 90.00°
Closest atoms and distances in Å follow each position.
Space group I4/mmm (No. 139)
Inequivalent atoms, fractional coordinates:
Cs: 0.0000 0.0000 0.0980 x4  4 Mg 4.25, 4 Na 4.55
Na: 0.0000 0.5000 0.2500 x4  4 Na 3.46
Mg: 0.0000 0.0000 0.5000 x2  8 Cs 4.25

***

B) (94 meV per atom below the next structure)

***

A) A relaxed structure of CsNa3Mg, computed with PBE.

Summary:
Total moment, μB/atom: 0.000

Cell: 7.0083 7.0083 7.0083 Å, 90.00 90.00 90.00°
Closest atoms and distances in Å follow each position.
Space group Pm-3m (No. 221)
Inequivalent atoms, fractional coordinates:
Cs: 0.0000 0.0000 0.0000 x1  6 Na 3.50
Na: 0.0000 0.0000 0.5000 x3  2 Cs 3.50
Mg: 0.5000 0.5000 0.5000 x1  12 Na 4.96

***

B) A relaxed structure of CsNa3Mg, computed with PBE.

Summary:
Total moment, μB/atom: 0.000

Cell: 6.3444 6.3444 6.3444 Å, 90.00 90.00 90.00°
Closest atoms and distances in Å follow each position.
Space group Pm-3m (No. 221)
Inequivalent atoms, fractional coordinates:
Cs: 0.0000 0.0000 0.0000 x1  12 Na 4.49
Na: 0.0000 0.5000 0.5000 x3  2 Mg 3.17
Mg: 0.5000 0.5000 0.5000 x1  6 Na 3.17

***

B) (562 meV per atom below the next structure)

***

A) A relaxed structure of CsNaMg14, computed with PBE.

Summary:
Total moment, μB/atom: 0.000

Cell: 6.6812 6.6812 10.8905 Å, 90.00 90.00 120.00°
Closest atoms and distances in Å follow each position.
Space group P-6m2 (No. 187)
Inequivalent atoms, fractional coordinates:
Cs: 0.0000 0.0000 0.0000 x1  12 Mg 3.34-3.52
Na: 0.0000 0.0000 0.5000 x1  12 Mg 3.27-3.34
Mg: 0.0083 0.5042 0.0000 x3  10 Mg 3.26-3.43, 2 Cs 3.34
Mg: 0.1746 0.3492 0.2645 x6  10 Mg 3.18-3.50, 1 Na 3.27, 1 Cs 3.52
Mg: 0.5013 0.0027 0.5000 x3  10 Mg 3.19-3.38, 2 Na 3.34
Mg: 0.6667 0.3333 0.2444 x2  12 Mg 3.32-3.38

***

B) A relaxed structure of CsNaMg14, computed with PBE.

Summary:
Total moment, μB/atom: 0.000

Cell: 11.0649 6.4020 11.8150 Å, 90.00 90.00 90.00°
Closest atoms and distances in Å follow each position.
Space group Amm2 (No. 38)
Inequivalent atoms, fractional coordinates:
Cs: 0.0000 0.0000 0.0000 x2  2 Na 3.20, 4 Mg 3.36
Na: 0.0000 0.0000 0.5027 x2  2 Cs 3.20, 10 Mg 3.35-3.57
Mg: 0.0000 0.2443 0.2519 x4  6 Mg 3.13-3.42, 2 Na 3.35-3.37, 2 Cs 3.36
Mg: 0.2480 0.0000 0.6778 x4  11 Mg 3.21-3.41, 1 Na 3.44
Mg: 0.2646 0.0000 0.1818 x4  11 Mg 3.20-3.46
Mg: 0.2770 0.2464 0.4230 x8  9 Mg 3.13-3.46
Mg: 0.5000 0.0000 0.0170 x2  12 Mg 3.15-3.42
Mg: 0.5000 0.0000 0.5212 x2  12 Mg 3.15-3.47
Mg: 0.5000 0.2486 0.7607 x4  12 Mg 3.13-3.47

***

B) (18 meV per atom below the next structure)

***

A) A relaxed structure of CsMg6Nb, computed with PBE.

Summary:
Total moment, μB/atom: 0.092

Cell: 6.6687 6.6687 5.2278 Å, 90.00 90.00 120.00°
Closest atoms and distances in Å follow each position.
Space group P-6m2 (No. 187)
Inequivalent atoms, fractional coordinates:
Cs: 0.0000 0.0000 0.0000 x1  12 Mg 3.33-3.34
Mg: 0.0309 0.5155 0.0000 x3  6 Mg 3.02-3.27, 2 Nb 3.14, 2 Cs 3.34
Mg: 0.3561 0.1780 0.5000 x3  6 Mg 3.11-3.27, 2 Cs 3.33, 2 Nb 3.34
Nb: 0.3333 0.6667 0.5000 x1  12 Mg 3.14-3.34

***

B) A relaxed structure of CsMg6Nb, computed with PBE.

Summary:
Total moment, μB/atom: 0.170

Cell: 7.3109 7.3109 4.0252 Å, 90.00 90.00 90.00°
Closest atoms and distances in Å follow each position.
Space group P4/mmm (No. 123)
Inequivalent atoms, fractional coordinates:
Cs: 0.0000 0.0000 0.0000 x1  12 Mg 3.65-3.66, 2 Cs 4.03
Mg: 0.0000 0.5000 0.0000 x2  8 Mg 3.31, 2 Nb 3.66, 2 Cs 3.66
Mg: 0.2941 0.2941 0.5000 x4  2 Nb 2.93, 2 Mg 3.01
Nb: 0.5000 0.5000 0.0000 x1  8 Mg 2.93

***

B) (44 meV per atom below the next structure)